Computed, not measured: a relaxed structure of NaMnIn3 at the PBE level of DFT.

Values from the calculation:
**ΔH_f (0 K)**: 0.124 eV per atom
**DFT total energy**: -18.1 eV/cell

```
data_NaMnIn3
_symmetry_space_group_name_H-M 'P m -3 m'
_symmetry_Int_Tables_number 221
_symmetry_space_group_name_Hall '-P 4 2 3'
_cell_length_a 5.104
_cell_length_b 5.104
_cell_length_c 5.104
_cell_angle_alpha 90.00
_cell_angle_beta 90.00
_cell_angle_gamma 90.00
loop_
_atom_site_label
_atom_site_type_symbol
_atom_site_fract_x
_atom_site_fract_y
_atom_site_fract_z
_atom_site_occupancy
Na1 Na 0.000 0.000 0.000 1
Mn1 Mn 0.500 0.500 0.500 1
In1 In 0.000 0.500 0.500 1
```